[1]
{"formula": "Dy6AgBi3", "functional": "PBE-GGA", "state": "optimized geometry", "formation_energy_ev_per_atom": -0.3824, "crystal_system": "orthorhombic", "cell": [[5.609, -7.790, 0.000], [5.609, 7.790, 0.000], [0.000, 0.000, 7.198]], "species": ["Dy", "Dy", "Dy", "Dy", "Dy", "Dy", "Dy", "Dy", "Dy", "Dy", "Dy", "Dy", "Ag", "Ag", "Bi", "Bi", "Bi", "Bi", "Bi", "Bi"], "frac_coords": [[0.020, 0.980, 0.500], [0.092, 0.545, 0.045], [0.249, 0.366, 0.670], [0.256, 0.744, 0.603], [0.366, 0.249, 0.170], [0.455, 0.908, 0.045], [0.545, 0.092, 0.545], [0.634, 0.751, 0.670], [0.744, 0.256, 0.103], [0.751, 0.634, 0.170], [0.908, 0.455, 0.545], [0.980, 0.020, 0.000], [0.159, 0.841, 0.228], [0.841, 0.159, 0.728], [0.069, 0.280, 0.297], [0.280, 0.069, 0.797], [0.428, 0.572, 0.983], [0.572, 0.428, 0.483], [0.720, 0.931, 0.297], [0.931, 0.720, 0.797]]}



[2]
{"formula": "Dy8Ag2Bi", "functional": "PBE-GGA", "state": "optimized geometry", "formation_energy_ev_per_atom": -0.1208, "crystal_system": "monoclinic", "cell": [[4.360, -6.927, 0.000], [4.360, 6.927, 0.000], [-1.705, 0.000, 5.360]], "species": ["Dy", "Dy", "Dy", "Dy", "Dy", "Dy", "Dy", "Dy", "Ag", "Ag", "Bi"], "frac_coords": [[0.086, 0.322, 0.605], [0.240, 0.760, 0.000], [0.322, 0.086, 0.605], [0.401, 0.401, 0.199], [0.599, 0.599, 0.801], [0.678, 0.914, 0.395], [0.760, 0.240, 0.000], [0.914, 0.678, 0.395], [0.305, 0.695, 0.500], [0.695, 0.305, 0.500], [0.000, 0.000, 0.000]]}



[3]
{"formula": "Dy2AgBi4", "functional": "PBE-GGA", "state": "optimized geometry", "formation_energy_ev_per_atom": -0.4422, "crystal_system": "tetragonal", "cell": [[4.587, 0.000, 0.000], [0.000, 4.587, 0.000], [0.000, 0.000, 9.720]], "species": ["Dy", "Dy", "Ag", "Bi", "Bi", "Bi", "Bi"], "frac_coords": [[0.000, 0.500, 0.238], [0.500, 0.000, 0.762], [0.500, 0.500, 0.000], [0.000, 0.000, 0.500], [0.000, 0.500, 0.827], [0.500, 0.000, 0.173], [0.500, 0.500, 0.500]]}



[4]
{"formula": "Dy4AgBi", "functional": "PBE-GGA", "state": "optimized geometry", "formation_energy_ev_per_atom": -0.3417, "crystal_system": "cubic", "cell": [[0.000, 7.037, 7.037], [7.037, 0.000, 7.037], [7.037, 7.037, 0.000]], "species": ["Dy", "Dy", "Dy", "Dy", "Dy", "Dy", "Dy", "Dy", "Dy", "Dy", "Dy", "Dy", "Dy", "Dy", "Dy", "Dy", "Ag", "Ag", "Ag", "Ag", "Bi", "Bi", "Bi", "Bi"], "frac_coords": [[0.063, 0.063, 0.437], [0.063, 0.437, 0.063], [0.063, 0.437, 0.437], [0.092, 0.636, 0.636], [0.184, 0.184, 0.816], [0.184, 0.816, 0.184], [0.184, 0.816, 0.816], [0.437, 0.063, 0.063], [0.437, 0.063, 0.437], [0.437, 0.437, 0.063], [0.636, 0.092, 0.636], [0.636, 0.636, 0.092], [0.636, 0.636, 0.636], [0.816, 0.184, 0.184], [0.816, 0.184, 0.816], [0.816, 0.816, 0.184], [0.452, 0.849, 0.849], [0.849, 0.452, 0.849], [0.849, 0.849, 0.452], [0.849, 0.849, 0.849], [0.405, 0.405, 0.405], [0.405, 0.405, 0.785], [0.405, 0.785, 0.405], [0.785, 0.405, 0.405]]}



Sequential final energy output: -91.861 -47.730 -30.675 -108.763 eV/cell